# In2TeBr8

An optimized crystal structure of In2TeBr8 (PBE, Alexandria via LeMat-Bulk).

abc: 13.9498 7.9286 9.1497
angles: 90.00 100.79 90.00
Last column: nearest neighbours and their distance in Å.
Space group C2/m (No. 12)
Inequivalent atoms, fractional coordinates:
In 0.2284 0.0000 0.3100  4 Br 2.47-2.67
Te 0.0000 0.0000 0.0000  4 Br 2.80
Br 0.0990 0.5000 0.7194  1 In 2.47
Br 0.1314 0.2425 0.1421  1 In 2.67, 1 Te 2.80
Br 0.1785 0.0000 0.5576  1 In 2.49

Results
Formation energy (no corrections)   -58.1 kJ/mol of atoms